Record 1
CsSrTa | PBE-GGA | optimized geometry

a = 6.2097 Å, b = 6.2097 Å, c = 3.4136 Å
α = 90.00°, β = 90.00°, γ = 120.00°
Closest atoms and distances in Å follow each position.
Space group P-6m2 (No. 187)
One atom of each set of equivalent atoms:
Cs (0.0000, 0.0000, 0.0000) [1 per cell]  2 Cs 3.41
Sr (0.3333, 0.6667, 0.5000) [1 per cell]  2 Sr 3.41, 3 Ta 3.59
Ta (0.6667, 0.3333, 0.5000) [1 per cell]  2 Ta 3.41, 3 Sr 3.59

formation energy: 1.594 eV per atom
magnetic moment: 1.07 μB/atom
energy relative to the lowest polymorph listed for this composition: 3.233 eV per formula unit
E_tot: -9.6 eV/cell

Record 2
CsSrTa | PBE-GGA | optimized geometry

a = 3.7530 Å, b = 4.8638 Å, c = 17.8068 Å
α = 85.91°, β = 87.88°, γ = 67.32°
Closest atoms and distances in Å follow each position.
Space group P1 (No. 1)
One atom of each set of equivalent atoms:
Cs (0.0000, 0.0000, 0.0000) [1 per cell]  2 Cs 3.75
Cs (0.3678, 0.4177, 0.2575) [1 per cell]  2 Cs 3.75
Sr (0.1197, 0.8872, 0.4874) [1 per cell]  5 Ta 3.40-3.51, 2 Sr 3.75
Sr (0.2487, 0.5297, 0.7711) [1 per cell]  5 Ta 3.40-3.51, 2 Sr 3.75
Ta (0.5405, 0.9883, 0.6436) [1 per cell]  3 Ta 2.59-2.75
Ta (0.8278, 0.4285, 0.6150) [1 per cell]  3 Ta 2.59-2.75

formation energy: 0.649 eV per atom
magnetic moment: 0.00 μB/atom
energy relative to the lowest polymorph listed for this composition: 0.398 eV per formula unit
E_tot: -24.9 eV/cell

Record 3
CsSrTc3 | PBE-GGA | optimized geometry

a = 5.0518 Å, b = 5.0518 Å, c = 5.0518 Å
α = 90.00°, β = 90.00°, γ = 90.00°
Closest atoms and distances in Å follow each position.
Space group Pm-3m (No. 221)
One atom of each set of equivalent atoms:
Cs (0.0000, 0.0000, 0.0000) [1 per cell]  6 Tc 2.53
Sr (0.5000, 0.5000, 0.5000) [1 per cell]  12 Tc 3.57
Tc (0.0000, 0.0000, 0.5000) [3 per cell]  2 Cs 2.53

formation energy: 2.534 eV per atom
magnetic moment: 1.03 μB/atom
E_tot: -21.0 eV/cell

Record 4
CsSr2YTc | PBE-GGA | optimized geometry

a = 6.3115 Å, b = 6.3115 Å, c = 5.2711 Å
α = 90.00°, β = 90.00°, γ = 90.00°
Closest atoms and distances in Å follow each position.
Space group P4/mmm (No. 123)
One atom of each set of equivalent atoms:
Cs (0.0000, 0.0000, 0.0000) [1 per cell]  8 Sr 4.11, 4 Y 4.46
Sr (0.0000, 0.5000, 0.5000) [2 per cell]  2 Tc 3.16
Y (0.5000, 0.5000, 0.0000) [1 per cell]  2 Tc 2.64
Tc (0.5000, 0.5000, 0.5000) [1 per cell]  2 Y 2.64

formation energy: 0.468 eV per atom
magnetic moment: 0.26 μB/atom
E_tot: -18.7 eV/cell

Record 5
CsSrTe3 | PBE-GGA | optimized geometry

a = 19.5016 Å, b = 6.5453 Å, c = 6.3747 Å
α = 90.00°, β = 90.00°, γ = 90.00°
Closest atoms and distances in Å follow each position.
Space group Pnna (No. 52)
One atom of each set of equivalent atoms:
Cs (0.2500, 0.0000, 0.0330) [4 per cell]  6 Te 3.85-3.92, 2 Cs 4.29
Sr (0.0007, 0.2500, 0.2500) [4 per cell]  8 Te 3.34-3.63
Te (0.0815, 0.7500, 0.2500) [4 per cell]  2 Te 3.05
Te (0.1200, 0.0698, 0.5767) [8 per cell]  2 Te 3.05-3.23, 2 Sr 3.34

magnetic moment: 0.00 μB/atom
ΔE_f (raw): -1.01 eV/atom
energy relative to the lowest polymorph listed for this composition: 0.000 eV per formula unit
E_tot: -68.1 eV/cell

Record 6
CsSrTe3 | PBE-GGA | optimized geometry

a = 6.2390 Å, b = 6.2390 Å, c = 6.2390 Å
α = 90.00°, β = 90.00°, γ = 90.00°
Closest atoms and distances in Å follow each position.
Space group Pm-3m (No. 221)
One atom of each set of equivalent atoms:
Cs (0.0000, 0.0000, 0.0000) [1 per cell]  6 Te 3.12
Sr (0.5000, 0.5000, 0.5000) [1 per cell]  12 Te 4.41
Te (0.0000, 0.0000, 0.5000) [3 per cell]  2 Cs 3.12

magnetic moment: 0.00 μB/atom
ΔE_f (raw): 0.15 eV/atom
energy relative to the lowest polymorph listed for this composition: 5.792 eV per formula unit
E_tot: -11.2 eV/cell